NpUFe after structural relaxation, computed with PBE-GGA.

Geometry as extended XYZ:
```
3
Lattice="0.0000 2.9624 2.9624 2.9624 0.0000 2.9624 2.9624 2.9624 0.0000" Properties=species:S:1:pos:R:3 pbc="T T T"
Fe 1.4812 1.4812 1.4812
Np 4.4436 4.4436 4.4436
U 0.0000 0.0000 0.0000
```

Energy of formation (meV per atom): 144
Excess energy over the best structure of this formula in the dataset (eV per formula unit): 0.000
SG: F-43m, No. 216